## A
DFT (PBE) results for ZnFe2Ru2 after structural relaxation.

Properties
As for the density of states at the Fermi level: 12.53 states/eV per cell. As for the total magnetic moment: 0.0 μB/f.u.

```
ZnFe2Ru2
1.0
-1.787 -0.702 6.875
6.499 -2.585 1.425
0.863 2.431 0.473
Ru Fe Zn
4 4 2
Cartesian
4.998 -2.512 3.792
2.181 -1.050 1.416
2.531 -2.238 6.884
-0.286 -0.775 4.508
0.907 0.553 2.774
4.459 -0.620 2.320
4.669 -1.410 5.999
1.116 -0.236 6.453
0.000 0.000 0.000
2.356 -1.644 4.150
```

***

## B
DFT (PBE) results for ZnFe2Ru2 after structural relaxation.

Properties
As for the density of states at the Fermi level: 12.09 states/eV per cell. As for the total magnetic moment: 0.0 μB/f.u.

```
ZnFe2Ru2
1.0
-6.488 -0.585 -2.594
-0.801 -6.091 3.378
-0.964 1.301 2.118
Zn Fe Ru
2 4 4
Cartesian
0.000 0.000 0.000
-3.645 -3.338 0.392
-6.217 -4.281 -0.199
-1.072 -2.395 0.984
-4.105 -1.081 -1.204
-3.184 -5.595 1.989
-5.522 -4.770 2.096
-2.731 -0.605 0.807
-6.095 -1.812 0.017
-2.158 -3.563 2.885
```

***

B comes first in stability; the runner-up is 70 meV/atom higher.

***

## A
DFT (PBE) results for ZnFeRu after structural relaxation.

Properties
As for the density of states at the Fermi level: 10.20 states/eV per cell. As for the total magnetic moment: 3.6 μB/f.u.

```
ZnFeRu
1.0
3.883 0.000 0.000
0.000 3.786 0.000
0.000 0.000 10.963
Zn Ru Fe
4 4 4
Cartesian
2.912 1.893 10.048
0.971 0.000 6.396
0.971 1.893 0.915
2.912 3.786 4.566
0.971 1.893 4.439
2.912 1.893 6.524
0.971 0.000 9.920
2.912 3.786 1.042
0.971 3.786 2.751
0.971 1.893 8.233
2.912 1.893 2.730
2.912 0.000 8.211
```

***

## B
DFT (PBE) results for ZnFeRu after structural relaxation.

Properties
As for the density of states at the Fermi level: 3.44 states/eV per cell. As for the total magnetic moment: 2.9 μB/f.u.

```
ZnFeRu
1.0
6.761 0.002 -0.001
6.058 2.524 0.022
0.703 -0.875 2.366
Zn Ru Fe
1 1 1
Cartesian
8.747 1.383 0.809
4.791 0.272 1.575
12.805 2.521 0.024
```

***

A comes first in stability; the runner-up is 80 meV/atom higher.

***

## A
DFT (PBE) results for ZrFe2Ru2 after structural relaxation.

Properties
As for the density of states at the Fermi level: 5.87 states/eV per cell. As for the total magnetic moment: 1.2 μB/f.u.

```
ZrFe2Ru2
1.0
-1.938 1.938 4.956
1.938 -1.938 4.956
1.938 1.938 -4.956
Ru Fe Zr
2 2 1
Cartesian
1.938 0.000 2.478
0.000 1.938 2.478
0.000 0.000 3.940
0.000 0.000 5.971
0.000 0.000 0.000
```

***

## B
DFT (PBE) results for ZrFe2Ru2 after structural relaxation.

Properties
As for the density of states at the Fermi level: 9.75 states/eV per cell. As for the total magnetic moment: 0.0 μB/f.u.

```
ZrFe2Ru2
1.0
-2.537 -4.987 4.593
-1.839 -4.214 -5.591
2.431 -1.165 0.078
Zr Ru Fe
2 4 4
Cartesian
-2.188 -4.600 -0.499
0.000 0.000 0.000
-1.818 -3.649 2.171
-3.369 -6.997 0.518
-1.007 -2.204 -1.516
-2.558 -5.552 -3.169
0.066 -2.944 0.597
-1.494 -6.105 2.007
-0.451 -4.261 -2.927
-2.011 -7.422 -1.516
```

***

## C
DFT (PBE) results for ZrFe2Ru2 after structural relaxation.

Properties
As for the density of states at the Fermi level: 5.57 states/eV per cell. As for the total magnetic moment: 4.1 μB/f.u.

```
ZrFe2Ru2
1.0
-0.553 -3.141 -2.323
0.788 -2.388 3.041
-4.825 -2.813 1.601
Ru Fe Zr
2 2 1
Cartesian
-3.577 -5.566 1.676
-1.013 -2.776 0.643
-2.631 -4.359 -0.181
-1.960 -3.983 2.501
0.000 0.000 0.000
```

***

## D
DFT (PBE) results for ZrFe2Ru2 after structural relaxation.

Properties
As for the density of states at the Fermi level: 11.91 states/eV per cell. As for the total magnetic moment: 0.0 μB/f.u.

```
ZrFe2Ru2
1.0
-1.739 -6.510 -2.430
6.192 -2.589 2.504
-1.204 -0.570 2.388
Fe Zr Ru
4 2 4
Cartesian
-0.345 -4.328 -1.206
2.160 -1.757 0.670
4.797 -4.771 1.281
2.292 -7.342 -0.596
2.226 -4.550 0.037
0.000 0.000 0.000
-0.023 -6.501 0.003
3.335 -6.814 1.622
-0.087 -2.855 0.840
3.271 -3.168 2.459
```

***

A comes first in stability; the runner-up is 13 meV/atom higher.

***

## A
DFT (PBE) results for Fe7S8 after structural relaxation.

Properties
As for the density of states at the Fermi level: 20.42 states/eV per cell. As for the total magnetic moment: 3.1 μB/f.u.

```
Fe7S8
1.0
5.704 0.000 0.000
0.000 6.322 0.150
0.000 1.604 10.990
Fe S
14 16
Cartesian
0.133 3.452 9.486
2.985 5.275 7.149
2.769 0.691 1.083
3.052 5.207 3.068
2.719 2.651 3.991
5.571 4.474 1.654
2.652 2.719 8.073
5.504 6.009 8.563
0.083 1.493 6.578
2.935 7.235 10.057
0.000 3.963 5.570
0.200 1.917 2.577
5.621 6.433 4.562
2.852 3.161 0.075
0.936 1.535 8.983
1.819 2.775 6.040
0.958 5.818 6.477
1.033 1.974 0.545
1.022 4.081 3.523
1.894 5.016 0.981
3.874 3.043 2.122
3.885 5.151 5.100
4.768 6.391 2.158
3.788 7.193 7.653
3.810 2.910 10.159
1.916 0.733 3.488
4.746 2.108 4.664
4.671 5.952 10.595
1.830 4.883 9.018
4.682 3.845 7.618
```

***

## B
DFT (PBE) results for Fe7S8 after structural relaxation.

Properties
As for the density of states at the Fermi level: 21.07 states/eV per cell. As for the total magnetic moment: 1.8 μB/f.u.

```
Fe7S8
1.0
3.335 5.609 -0.002
-3.335 5.609 -0.002
0.000 4.982 10.356
S Fe
16 14
Cartesian
0.933 11.316 6.397
1.004 5.680 6.513
-2.721 5.901 1.593
-0.933 4.884 3.955
0.639 6.028 1.139
-0.639 10.172 9.213
-0.639 8.519 6.317
2.721 10.299 8.759
1.004 13.010 9.017
0.639 7.681 4.035
-0.933 8.825 1.219
-1.004 3.189 1.335
-2.721 7.808 3.581
-1.004 10.519 3.839
0.933 7.375 9.133
2.721 8.392 6.771
-0.692 12.514 5.169
0.680 9.467 2.796
-1.291 6.758 0.311
-0.680 11.958 7.974
-2.005 9.345 7.765
-0.680 6.733 7.556
-0.692 1.195 0.005
1.291 9.249 5.489
0.692 3.686 5.183
-1.291 6.951 4.863
2.005 6.854 2.587
1.291 9.442 10.041
0.692 15.005 10.347
0.680 4.242 2.378
```

***

B comes first in stability; the runner-up is 33 meV/atom higher.